Entry from Alexandria via LeMat-Bulk: TbCe2Te3 after structural relaxation (PBE-GGA).

Lattice parameters (Å, degrees): 7.7147 7.7147 14.0319 100.62 100.62 109.24
Sites, in units of the cell vectors:
Te 0.8418 0.3354 0.1693
Te 0.0083 0.5083 0.5000
Te 0.9225 0.9162 0.3307
Te 0.7583 0.7583 0.0000
Te 0.5854 0.5918 0.6693
Te 0.4082 0.4146 0.3307
Te 0.4917 0.9917 0.5000
Te 0.3275 0.8338 0.1693
Te 0.6646 0.1582 0.8307
Te 0.0838 0.0775 0.6693
Te 0.2417 0.2417 0.0000
Te 0.1662 0.6725 0.8307
Ce 0.4180 0.4180 0.8359
Ce 0.6680 0.1680 0.3359
Ce 0.5820 0.5820 0.1641
Ce 0.5012 0.0012 0.0023
Ce 0.7488 0.7488 0.4977
Ce 0.9988 0.4988 0.9977
Ce 0.8320 0.3320 0.6641
Ce 0.2512 0.2512 0.5023
Tb 0.9167 0.9167 0.8333
Tb 0.1667 0.6667 0.3333
Tb 0.3333 0.8333 0.6667
Tb 0.0833 0.0833 0.1667

Calculated values
As for the excess energy over the best structure of this formula in the dataset: 0 meV per atom. The value obtained for the uncorrected formation energy is -1.36 eV/atom. Its space group is Fddd. The volume is 186.9 Å³/f.u. The value obtained for the density of states at the Fermi level is 14.58 states/eV/f.u. As for the size of the total moment: 9.30 Bohr magnetons per cell. Its raw total energy is -5.676 eV/atom.